A plane-wave DFT calculation with GGA-PBE was carried out for an optimized crystal structure of Lu2PaCd.

Structure (POSCAR):
```
Lu2PaCd
1.0
4.804 0.000 0.000
0.000 4.804 0.000
0.000 0.000 4.502
Lu Pa Cd
2 1 1
direct
0.000 0.500 0.000
0.500 0.000 0.000
0.000 0.000 0.500
0.500 0.500 0.500
```

---

A plane-wave DFT calculation with GGA-PBE was carried out for an optimized crystal structure of ScVPb.

Structure (POSCAR):
```
ScVPb
1.0
6.495 0.000 0.000
-3.248 5.625 0.000
0.000 0.000 11.510
Sc V Pb
6 6 6
direct
0.000 0.000 0.000
0.000 0.000 0.333
0.000 0.000 0.667
0.000 0.500 0.167
0.500 0.000 0.500
0.500 0.500 0.833
0.167 0.583 0.667
0.417 0.583 0.333
0.417 0.833 0.000
0.583 0.167 0.000
0.583 0.417 0.333
0.833 0.417 0.667
0.000 0.500 0.433
0.000 0.500 0.901
0.500 0.000 0.234
0.500 0.000 0.766
0.500 0.500 0.099
0.500 0.500 0.567
```

---

no.,energy of formation from the pure elements (eV/atom),mass density (g cm⁻³)
1,0.15,11.084
2,0.30,7.181